No. 1
Te5Br3 | PBE | relaxed

Results
Formation energy from raw total energies (eV per atom): 0.256
Size of the total moment (μB/atom): 0.000

Unit cell a=9.1625 b=9.1625 c=7.2344 alpha=90.00 beta=90.00 gamma=120.00
Space group P6_3/mcm (No. 193)
Inequivalent atoms, fractional coordinates:
1 Te 0.0000 0.1742 0.2500 [6 per cell]
2 Te 0.3333 0.6667 0.0000 [4 per cell]
3 Br 0.0000 0.4644 0.7500 [6 per cell]

=====

No. 2
MgSn3Ir2 | PBE | relaxed

Results
Size of the total moment (μB/atom): 0.000
DFT formation energy (eV per atom): -0.029

Unit cell a=6.5322 b=6.5322 c=6.6005 alpha=90.00 beta=90.00 gamma=120.00
Space group P-3m1 (No. 164)
Inequivalent atoms, fractional coordinates:
1 Mg 0.3333 0.6667 0.2966 [2 per cell]
2 Sn 0.1699 0.3397 0.7001 [6 per cell]
3 Ir 0.0000 0.0000 0.0000 [1 per cell]
4 Ir 0.0000 0.5000 0.0000 [3 per cell]

=====

No. 3
RbIBr3 | PBE | relaxed

Results
Formation energy from raw total energies (eV per atom): -0.654
Size of the total moment (μB/atom): 0.000

Unit cell a=5.2743 b=8.5071 c=10.4546 alpha=111.36 beta=97.85 gamma=90.67
Space group P-1 (No. 2)
Inequivalent atoms, fractional coordinates:
1 Rb 0.2050 0.2547 0.2560 [2 per cell]
2 I 0.0713 0.2290 0.7112 [2 per cell]
3 Br 0.2203 0.6876 0.4874 [2 per cell]
4 Br 0.3250 0.5971 0.8814 [2 per cell]
5 Br 0.3266 0.0991 0.8838 [2 per cell]

=====

No. 4
VAs2Au | PBE | relaxed

Results
Size of the total moment (μB/atom): 0.447
DFT formation energy (eV per atom): 0.279

Unit cell a=6.5196 b=6.5196 c=6.5196 alpha=90.00 beta=90.00 gamma=90.00
Space group Fm-3m (No. 225)
Inequivalent atoms, fractional coordinates:
1 V 0.0000 0.0000 0.0000 [4 per cell]
2 As 0.2500 0.2500 0.2500 [8 per cell]
3 Au 0.0000 0.0000 0.5000 [4 per cell]

=====

No. 5
Hf3ZrBi4 | PBE | relaxed

Results
Size of the total moment (μB/atom): 0.000
DFT formation energy (eV per atom): -0.205

Unit cell a=5.4360 b=10.8856 c=7.1120 alpha=90.00 beta=90.00 gamma=90.00
Space group Pmmn (No. 59, origin choice 2)
Inequivalent atoms, fractional coordinates:
1 Hf 0.2500 0.9996 0.1210 [4 per cell]
2 Hf 0.2500 0.2500 0.8819 [2 per cell]
3 Zr 0.2500 0.7500 0.8727 [2 per cell]
4 Bi 0.2500 0.0017 0.6836 [4 per cell]
5 Bi 0.2500 0.2500 0.3183 [2 per cell]
6 Bi 0.2500 0.7500 0.3150 [2 per cell]

=====

No. 6
MgSi2AgS6 | PBE | relaxed

Results
Formation energy from raw total energies (eV per atom): -0.553
Size of the total moment (μB/atom): 0.000

Unit cell a=12.0790 b=11.5727 c=6.1658 alpha=90.00 beta=104.34 gamma=90.00
Space group C2/c (No. 15)
Inequivalent atoms, fractional coordinates:
1 Mg 0.0000 0.2309 0.2500 [4 per cell]
2 Si 0.2021 0.0843 0.7840 [8 per cell]
3 Ag 0.0000 0.3890 0.7500 [4 per cell]
4 S 0.1154 0.4148 0.1459 [8 per cell]
5 S 0.1374 0.2383 0.6232 [8 per cell]
6 S 0.1378 0.0692 0.0852 [8 per cell]